Computed, not measured: an optimized crystal structure of Sm3Pd2Rh at the PBE-GGA level of DFT.

DOS at the Fermi energy: 15.198 states/eV per cell
E_form: -0.7318 eV/atom
E_tot: -6.048 eV per atom
space-group type: No. 62
magnetization: 0.00 Bohr magnetons per cell

Lattice parameters (Å, degrees): 4.345 11.390 11.624 90.00 90.00 90.00
Sites, in units of the cell vectors:
Sm: 0.250 0.128 0.543
Sm: 0.750 0.208 0.266
Sm: 0.750 0.555 0.619
Sm: 0.250 0.708 0.234
Sm: 0.250 0.445 0.381
Sm: 0.750 0.628 0.957
Sm: 0.750 0.945 0.119
Sm: 0.750 0.872 0.457
Sm: 0.250 0.792 0.734
Sm: 0.750 0.292 0.766
Sm: 0.250 0.055 0.881
Sm: 0.250 0.372 0.043
Rh: 0.250 0.375 0.630
Rh: 0.750 0.875 0.870
Rh: 0.750 0.625 0.370
Rh: 0.250 0.125 0.130
Pd: 0.750 0.016 0.679
Pd: 0.250 0.697 0.503
Pd: 0.250 0.516 0.821
Pd: 0.750 0.303 0.497
Pd: 0.250 0.984 0.321
Pd: 0.750 0.484 0.179
Pd: 0.250 0.803 0.003
Pd: 0.750 0.197 0.997